Material: MnV2F8
Method: DFT, GGA+U
State: relaxed

## Properties
Spin magnetization ... 0.82 μB per atom
Total energy ... -6.088 eV/atom

a b c (Å): 6.544 6.544 4.081
angles (deg): 90.00 90.00 120.00
Fractional positions:
Mn (0.000, 0.000, 0.000)
V (0.333, 0.667, 0.259)
V (0.667, 0.333, 0.741)
F (0.167, 0.334, 0.248)
F (0.167, 0.833, 0.248)
F (0.333, 0.667, 0.754)
F (0.334, 0.167, 0.752)
F (0.666, 0.833, 0.248)
F (0.667, 0.333, 0.246)
F (0.833, 0.167, 0.752)
F (0.833, 0.666, 0.752)